MnCuPb2O5: optimized geometry, GGA+U.

Geometry as POSCAR:
```
MnCuPb2O5
1.0
-3.126 0.828 -0.120
0.228 -4.516 6.558
1.954 8.184 5.567
Mn Cu Pb O
2 2 4 10
Cartesian
-1.333 2.226 6.463
-0.561 -1.709 2.835
0.190 7.898 5.922
-0.303 0.078 8.450
-1.003 3.878 9.273
0.981 4.507 5.564
0.253 1.432 3.286
-2.177 -1.067 5.723
-0.884 -2.693 4.472
-0.403 5.898 7.577
0.279 2.617 10.802
0.488 2.885 7.198
-1.609 1.442 8.244
-0.993 3.279 4.874
-0.029 0.740 5.886
-1.002 2.805 1.833
-1.882 -0.271 3.527
-0.172 -0.449 1.378
```

Energy (eV/atom): -5.81
Symmetry: Cmc2_1 (36)
DOS at the Fermi energy (states/eV/f.u.): 2.7